No. 1
PBE ZnFeRh2, relaxed; mass density = 9.905 g/cm3; calculated formation energy = -0.137 eV per atom; total DFT energy (no corrections) = -6.247 eV per atom; calculated volume = 55 Å³ per cell
1.0
4.511 -0.027 0.023
3.700 2.581 0.023
0.802 0.250 4.673
Fe Rh Zn
1 2 1
direct
0.750 0.750 0.750
0.002 0.002 0.997
0.498 0.498 0.503
0.250 0.250 0.250

No. 2
PBE Zn2Fe2Rh3, relaxed; mass density = 9.621 g/cm3; calculated formation energy = -0.120 eV per atom; total DFT energy (no corrections) = -6.053 eV per atom; calculated volume = 95 Å³ per cell
1.0
3.752 0.000 0.498
0.000 2.770 0.000
0.682 0.000 9.246
Zn Fe Rh
2 2 3
direct
0.572 0.500 0.857
0.428 0.500 0.143
0.713 0.500 0.575
0.287 0.500 0.425
0.846 0.000 0.308
0.000 0.000 0.000
0.154 0.000 0.692

No. 3
PBE ZnFe2Rh3, relaxed; mass density = 9.812 g/cm3; calculated formation energy = -0.202 eV per atom; total DFT energy (no corrections) = -6.911 eV per atom; calculated volume = 82 Å³ per cell
1.0
-1.135 -0.724 2.700
0.716 -2.892 -0.475
8.090 1.383 3.771
Zn Fe Rh
1 2 3
direct
0.500 0.500 0.500
0.500 0.500 0.831
0.500 0.500 0.169
0.000 0.000 0.000
0.000 0.000 0.672
0.000 0.000 0.328